Computed, not measured: an optimized crystal structure of TlNiBiI2 at the PBE level of DFT.

Cell and atoms, written as POSCAR:
```
TlNiBiI2
1.0
5.308 0.000 0.000
0.000 5.233 0.000
0.000 0.000 5.308
I Tl Bi Ni
2 1 1 1
Cartesian
2.654 0.000 0.000 I
0.000 0.000 2.654 I
0.000 2.617 0.000 Tl
2.654 2.617 2.654 Bi
0.000 0.000 0.000 Ni
```

Uncorrected formation energy in meV per atom: 227
Crystal system: tetragonal